Material: Ac8Te3P3S
Method: DFT, PBE
State: optimized geometry

- crystal system = trigonal
- total energy (eV for the cell shown) = -84.63
- formation energy without anion corrections (eV per atom) = -1.47
- symmetry = R-3m
- D(E_F) (states/eV/cell) = 7.08

Cell lengths 8.9643, 8.9643, 9.2264 Å; angles 119.06, 90.00, 120.00 degrees
Last column: nearest neighbours and their distance in Å.
Positions (direct):
1 Ac 0.7567 0.0231 0.2799  2 P 3.07, 1 S 3.13, 2 Te 3.38
2 Ac 0.2664 0.0231 0.2799  2 P 3.07, 1 S 3.13, 2 Te 3.38
3 Ac 0.7568 0.5135 0.2799  2 P 3.07, 1 S 3.13, 2 Te 3.38
4 Ac 0.2433 0.9769 0.7201  2 P 3.07, 1 S 3.13, 2 Te 3.38
5 Ac 0.7385 0.4771 0.7156  3 P 3.07, 3 Te 3.38
6 Ac 0.2615 0.5229 0.2844  3 P 3.07, 3 Te 3.38
7 Ac 0.2432 0.4865 0.7201  2 P 3.07, 1 S 3.13, 2 Te 3.38
8 Ac 0.7336 0.9769 0.7201  2 P 3.07, 1 S 3.13, 2 Te 3.38
9 Te 0.0000 0.0000 0.0000  6 Ac 3.38
10 Te 0.5000 0.5000 0.0000  6 Ac 3.38
11 Te 0.0000 0.5000 0.0000  6 Ac 3.38
12 P 0.0000 0.5000 0.5000  6 Ac 3.07
13 P 0.5000 0.5000 0.5000  6 Ac 3.07
14 P 0.5000 0.0000 0.5000  6 Ac 3.07
15 S 0.0000 0.0000 0.5000  6 Ac 3.13

---

Material: Na2Hg3Pd3
Method: DFT, PBE
State: optimized geometry

- energy relative to the elements (meV/atom) = -118.9
- crystal system = hexagonal
- total energy (eV for the cell shown) = -20.07
- symmetry = P-62m
- D(E_F) (states/eV/cell) = 2.77

Cell lengths 3.0273, 7.8804, 7.8804 Å; angles 120.00, 90.00, 90.00 degrees
Last column: nearest neighbours and their distance in Å.
Positions (direct):
1 Pd 0.5000 0.0000 0.3400  4 Hg 2.84, 4 Na 3.01, 2 Pd 3.03
2 Pd 0.5000 0.6600 0.6600  4 Hg 2.84, 4 Na 3.01, 2 Pd 3.03
3 Pd 0.5000 0.3400 0.0000  4 Hg 2.84, 4 Na 3.01, 2 Pd 3.03
4 Hg 0.0000 0.0000 0.7482  4 Pd 2.84, 2 Na 3.00, 2 Hg 3.03
5 Hg 0.0000 0.2518 0.2518  4 Pd 2.84, 2 Na 3.00, 2 Hg 3.03
6 Hg 0.0000 0.7482 0.0000  4 Pd 2.84, 2 Na 3.00, 2 Hg 3.03
7 Na 0.0000 0.3333 0.6667  3 Hg 3.00, 6 Pd 3.01, 2 Na 3.03
8 Na 0.0000 0.6667 0.3333  3 Hg 3.00, 6 Pd 3.01, 2 Na 3.03

---

Material: Gd2MgIr
Method: DFT, PBE
State: optimized geometry

- energy relative to the elements (meV/atom) = -460.0
- relative energy among the computed polymorphs (eV per atom) = 0.0000
- crystal system = tetragonal
- total energy (eV for the cell shown) = -40.46
- symmetry = P4/mmm
- D(E_F) (states/eV/cell) = 2.62

Cell lengths 3.5707, 3.5707, 7.7121 Å; angles 90.00, 90.00, 90.00 degrees
Last column: nearest neighbours and their distance in Å.
Positions (direct):
1 Gd 0.0000 0.0000 0.2095  4 Ir 3.00, 1 Gd 3.23
2 Gd 0.0000 0.0000 0.7905  4 Ir 3.00, 1 Gd 3.23
3 Ir 0.5000 0.5000 0.0000  8 Gd 3.00
4 Mg 0.5000 0.5000 0.5000  8 Gd 3.38, 4 Mg 3.57

---

Material: Rb2GePRu
Method: DFT, PBE
State: optimized geometry

- energy relative to the elements (meV/atom) = 635.3
- crystal system = tetragonal
- total energy (eV for the cell shown) = -18.06
- symmetry = P4/mmm
- D(E_F) (states/eV/cell) = 5.71

Cell lengths 6.6050, 4.4106, 6.6050 Å; angles 90.00, 90.00, 90.00 degrees
Last column: nearest neighbours and their distance in Å.
Positions (direct):
1 Rb 0.5000 0.0000 0.0000  2 Ru 3.30
2 Rb 0.0000 0.0000 0.5000  2 Ru 3.30
3 Ge 0.5000 0.5000 0.5000  8 Rb 3.97, 2 Ge 4.41
4 Ru 0.0000 0.0000 0.0000  2 P 2.21
5 P 0.0000 0.5000 0.0000  2 Ru 2.21

---

Material: PmDyCdAu
Method: DFT, PBE
State: optimized geometry

- energy relative to the elements (meV/atom) = -570.0
- relative energy among the computed polymorphs (eV per atom) = 0.0000
- crystal system = tetragonal
- total energy (eV for the cell shown) = -15.83
- symmetry = P4mm
- D(E_F) (states/eV/cell) = 3.76

Cell lengths 3.7066, 3.7066, 7.4576 Å; angles 90.00, 90.00, 90.00 degrees
Last column: nearest neighbours and their distance in Å.
Positions (direct):
1 Cd 0.5000 0.5000 0.5952  4 Dy 3.24, 4 Pm 3.32, 1 Au 3.51
2 Dy 0.0000 0.0000 0.3405  4 Au 3.08, 4 Cd 3.24
3 Au 0.5000 0.5000 0.1248  4 Dy 3.08, 4 Pm 3.25
4 Pm 0.0000 0.0000 0.8675  4 Au 3.25, 4 Cd 3.32, 1 Dy 3.53

---

Material: Tb2NiIr
Method: DFT, PBE
State: optimized geometry

- energy relative to the elements (meV/atom) = -623.3
- crystal system = cubic
- total energy (eV for the cell shown) = -26.40
- symmetry = Fm-3m
- D(E_F) (states/eV/cell) = 4.11

Cell lengths 4.8427, 4.8427, 4.8427 Å; angles 60.00, 60.00, 60.00 degrees
Last column: nearest neighbours and their distance in Å.
Positions (direct):
1 Ni 0.7500 0.7500 0.7500  8 Tb 2.97
2 Tb 0.0000 0.0000 0.0000  4 Ni 2.97, 4 Ir 2.97
3 Tb 0.5000 0.5000 0.5000  4 Ir 2.97, 4 Ni 2.97
4 Ir 0.2500 0.2500 0.2500  8 Tb 2.97

---

Material: Er4Sc3In
Method: DFT, PBE
State: optimized geometry

- energy relative to the elements (meV/atom) = 72.2
- crystal system = monoclinic
- total energy (eV for the cell shown) = -39.41
- symmetry = C2/m
- D(E_F) (states/eV/cell) = 11.75

Cell lengths 3.5688, 8.9637, 7.4377 Å; angles 95.76, 103.88, 90.00 degrees
Last column: nearest neighbours and their distance in Å.
Positions (direct):
1 Sc 0.0000 0.5000 0.0000  8 Er 3.27-3.39, 2 Sc 3.57
2 Sc 0.8318 0.9480 0.6636  2 In 3.01, 2 Sc 3.18, 5 Er 3.24-3.34
3 Sc 0.1682 0.0520 0.3364  2 In 3.01, 2 Sc 3.18, 5 Er 3.24-3.34
4 Er 0.6347 0.7393 0.2694  1 In 3.19, 5 Sc 3.24-3.32, 5 Er 3.44-3.57
5 Er 0.3653 0.2607 0.7306  1 In 3.19, 5 Sc 3.24-3.32, 5 Er 3.44-3.57
6 Er 0.3264 0.6328 0.6528  4 Sc 3.34-3.39, 7 Er 3.44-3.57
7 Er 0.6736 0.3672 0.3472  4 Sc 3.34-3.39, 7 Er 3.44-3.57
8 In 0.5000 0.0000 0.0000  4 Sc 3.01, 2 Er 3.19

---

Material: LiSc2Tl
Method: DFT, PBE
State: optimized geometry

- energy relative to the elements (meV/atom) = -86.0
- crystal system = tetragonal
- total energy (eV for the cell shown) = -17.29
- symmetry = P4mm
- D(E_F) (states/eV/cell) = 3.61

Cell lengths 3.5981, 3.5981, 6.8911 Å; angles 90.00, 90.00, 90.00 degrees
Last column: nearest neighbours and their distance in Å.
Positions (direct):
1 Li 0.5000 0.5000 0.7312  4 Tl 2.92, 5 Sc 3.09-3.25
2 Tl 0.0000 0.0000 0.5227  4 Li 2.92, 5 Sc 3.13-3.20
3 Sc 0.5000 0.5000 0.2592  4 Tl 3.13, 4 Sc 3.16, 1 Li 3.25
4 Sc 0.0000 0.0000 0.9869  4 Li 3.09, 4 Sc 3.16, 1 Tl 3.20

---

Respective total moment values: 0.0, 0.0, 14.1, 3.1, 0.1, 0.0, 0.0, 1.0 μB/f.u..